This record from Alexandria via LeMat-Bulk describes a relaxed structure of Ce2YGa. The functional is PBE-GGA. Values from VASP.

Properties
Energy of formation from the pure elements   -3 kJ/mol of atoms
Calculated total energy   -21.5 eV/cell
Space-group type   No. 166
Magnetization   1.3 μB/f.u.

Cell and atoms, written as Quantum ESPRESSO input:
```
&SYSTEM
  ibrav = 0, nat = 4, ntyp = 3
/
ATOMIC_SPECIES
Ce 140.12 Ce.upf
Y 88.91 Y.upf
Ga 69.72 Ga.upf
CELL_PARAMETERS angstrom
1.7385 1.0037 10.6990
-1.7385 1.0037 10.6990
0.0000 -2.0075 10.6990
ATOMIC_POSITIONS crystal
Ce 0.2403 0.2403 0.2403
Ce 0.7597 0.7597 0.7597
Y 0.0000 0.0000 0.0000
Ga 0.5000 0.5000 0.5000
```

***

This record from Alexandria via LeMat-Bulk describes a relaxed structure of Ce2YGa3. The functional is PBE-GGA. Values from VASP.

Properties
Energy of formation from the pure elements   -49 kJ/mol of atoms
Calculated total energy   -60.9 eV/cell
Space-group type   No. 164
Magnetization   1.5 μB/f.u.

Cell and atoms, written as Quantum ESPRESSO input:
```
&SYSTEM
  ibrav = 0, nat = 12, ntyp = 3
/
ATOMIC_SPECIES
Ce 140.12 Ce.upf
Y 88.91 Y.upf
Ga 69.72 Ga.upf
CELL_PARAMETERS angstrom
5.1199 0.0000 0.0000
-2.5600 4.4340 0.0000
0.0000 0.0000 12.5899
ATOMIC_POSITIONS crystal
Ce 0.0000 0.0000 0.0000
Ce 0.0000 0.0000 0.5000
Ce 0.3333 0.6667 0.1684
Ce 0.6667 0.3333 0.8316
Y 0.3333 0.6667 0.6670
Y 0.6667 0.3333 0.3330
Ga 0.0000 0.0000 0.2530
Ga 0.0000 0.0000 0.7470
Ga 0.3333 0.6667 0.4173
Ga 0.3333 0.6667 0.9143
Ga 0.6667 0.3333 0.0857
Ga 0.6667 0.3333 0.5827
```

***

This record from Alexandria via LeMat-Bulk describes a relaxed structure of Ce3YGa2. The functional is PBE-GGA. Values from VASP.

Properties
Energy of formation from the pure elements   -36 kJ/mol of atoms
Calculated total energy   -65.1 eV/cell
Space-group type   No. 12
Magnetization   0.0 μB/f.u.

Cell and atoms, written as Quantum ESPRESSO input:
```
&SYSTEM
  ibrav = 0, nat = 12, ntyp = 3
/
ATOMIC_SPECIES
Ce 140.12 Ce.upf
Y 88.91 Y.upf
Ga 69.72 Ga.upf
CELL_PARAMETERS angstrom
8.7975 -2.1686 0.0000
8.7975 2.1686 0.0000
-3.8147 0.0000 7.6810
ATOMIC_POSITIONS crystal
Ce 0.0685 0.0685 0.4489
Ce 0.2870 0.2870 0.5984
Ce 0.3769 0.3769 0.3145
Ce 0.6231 0.6231 0.6855
Ce 0.7130 0.7130 0.4016
Ce 0.9315 0.9315 0.5511
Y 0.1091 0.1091 0.0368
Y 0.8909 0.8909 0.9632
Ga 0.2513 0.2513 0.9108
Ga 0.4823 0.4823 0.8289
Ga 0.5177 0.5177 0.1711
Ga 0.7487 0.7487 0.0892
```

***

This record from Alexandria via LeMat-Bulk describes a relaxed structure of Ce3YGa8. The functional is PBE-GGA. Values from VASP.

Properties
Energy of formation from the pure elements   -51 kJ/mol of atoms
Calculated total energy   -54.9 eV/cell
Space-group type   No. 160
Magnetization   2.8 μB/f.u.

Cell and atoms, written as Quantum ESPRESSO input:
```
&SYSTEM
  ibrav = 0, nat = 12, ntyp = 3
/
ATOMIC_SPECIES
Ce 140.12 Ce.upf
Y 88.91 Y.upf
Ga 69.72 Ga.upf
CELL_PARAMETERS angstrom
2.7832 1.6069 9.1001
-2.7832 1.6069 9.1001
0.0000 -3.2138 9.1001
ATOMIC_POSITIONS crystal
Ce 0.0000 0.0000 0.0000
Ce 0.1229 0.1229 0.1229
Ce 0.6273 0.6273 0.6273
Y 0.5004 0.5004 0.5004
Ga 0.0624 0.0624 0.5603
Ga 0.0624 0.5603 0.0624
Ga 0.0645 0.5632 0.5632
Ga 0.3121 0.3121 0.3121
Ga 0.5603 0.0624 0.0624
Ga 0.5632 0.0645 0.5632
Ga 0.5632 0.5632 0.0645
Ga 0.8128 0.8128 0.8128
```

***

This record from Alexandria via LeMat-Bulk describes a relaxed structure of CeYGa6. The functional is PBE-GGA. Values from VASP.

Properties
Energy of formation from the pure elements   -53 kJ/mol of atoms
Calculated total energy   -34.9 eV/cell
Space-group type   No. 187
Magnetization   0.3 μB/f.u.

Cell and atoms, written as Quantum ESPRESSO input:
```
&SYSTEM
  ibrav = 0, nat = 8, ntyp = 3
/
ATOMIC_SPECIES
Ce 140.12 Ce.upf
Y 88.91 Y.upf
Ga 69.72 Ga.upf
CELL_PARAMETERS angstrom
6.3249 0.0000 0.0000
-3.1624 5.4775 0.0000
0.0000 0.0000 4.5962
ATOMIC_POSITIONS crystal
Ce 0.0000 0.0000 0.0000
Y 0.6667 0.3333 0.5000
Ga 0.0396 0.5198 0.0000
Ga 0.1876 0.3752 0.5000
Ga 0.1876 0.8124 0.5000
Ga 0.4802 0.5198 0.0000
Ga 0.4802 0.9604 0.0000
Ga 0.6248 0.8124 0.5000
```

***

This record from Alexandria via LeMat-Bulk describes a relaxed structure of CeY2Ga6. The functional is PBE-GGA. Values from VASP.

Properties
Energy of formation from the pure elements   -61 kJ/mol of atoms
Calculated total energy   -42.7 eV/cell
Space-group type   No. 191
Magnetization   0.6 μB/f.u.

Cell and atoms, written as Quantum ESPRESSO input:
```
&SYSTEM
  ibrav = 0, nat = 9, ntyp = 3
/
ATOMIC_SPECIES
Ce 140.12 Ce.upf
Y 88.91 Y.upf
Ga 69.72 Ga.upf
CELL_PARAMETERS angstrom
7.3397 0.0000 0.0000
-3.6699 6.3564 0.0000
0.0000 0.0000 4.1410
ATOMIC_POSITIONS crystal
Ce 0.0000 0.0000 0.0000
Y 0.3333 0.6667 0.0000
Y 0.6667 0.3333 0.0000
Ga 0.0000 0.3338 0.5000
Ga 0.0000 0.6662 0.5000
Ga 0.3338 0.0000 0.5000
Ga 0.3338 0.3338 0.5000
Ga 0.6662 0.0000 0.5000
Ga 0.6662 0.6662 0.5000
```

***

This record from Alexandria via LeMat-Bulk describes a relaxed structure of Ce2YGa. The functional is PBE-GGA. Values from VASP.

Properties
Energy of formation from the pure elements   -30 kJ/mol of atoms
Calculated total energy   -45.2 eV/cell
Space-group type   No. 11
Magnetization   0.0 μB/f.u.

Cell and atoms, written as Quantum ESPRESSO input:
```
&SYSTEM
  ibrav = 0, nat = 8, ntyp = 3
/
ATOMIC_SPECIES
Ce 140.12 Ce.upf
Y 88.91 Y.upf
Ga 69.72 Ga.upf
CELL_PARAMETERS angstrom
4.3756 0.0000 0.0000
0.0000 4.2788 0.0000
-2.0225 0.0000 10.9819
ATOMIC_POSITIONS crystal
Ce 0.0138 0.2500 0.1217
Ce 0.3935 0.2500 0.8748
Ce 0.6065 0.7500 0.1252
Ce 0.9862 0.7500 0.8783
Y 0.3013 0.7500 0.6021
Y 0.6987 0.2500 0.3979
Ga 0.1769 0.7500 0.3294
Ga 0.8231 0.2500 0.6706
```

***

This record from Alexandria via LeMat-Bulk describes a relaxed structure of CeY2Ga6. The functional is PBE-GGA. Values from VASP.

Properties
Energy of formation from the pure elements   -44 kJ/mol of atoms
Calculated total energy   -41.1 eV/cell
Space-group type   No. 71
Magnetization   1.3 μB/f.u.

Cell and atoms, written as Quantum ESPRESSO input:
```
&SYSTEM
  ibrav = 0, nat = 9, ntyp = 3
/
ATOMIC_SPECIES
Ce 140.12 Ce.upf
Y 88.91 Y.upf
Ga 69.72 Ga.upf
CELL_PARAMETERS angstrom
-2.1709 3.5797 6.5929
2.1709 -3.5797 6.5929
2.1709 3.5797 -6.5929
ATOMIC_POSITIONS crystal
Ce 0.0000 0.0000 0.0000
Y 0.3738 0.8738 0.5000
Y 0.6262 0.1262 0.5000
Ga 0.0103 0.3157 0.6946
Ga 0.3168 0.5000 0.8168
Ga 0.3789 0.6843 0.6946
Ga 0.6211 0.3157 0.3054
Ga 0.6832 0.5000 0.1832
Ga 0.9897 0.6843 0.3054
```